{
  "formula": "Sm4GeAsC2",
  "functional": "GGA-PBE",
  "state": "relaxed",
  "cell": [[3.737, 0.000, 0.000], [-1.868, 3.236, 0.000], [0.000, 0.000, 14.843]],
  "species": ["Sm", "Sm", "Sm", "Sm", "Ge", "As", "C", "C"],
  "fractional_positions": [[0.000, 0.000, 0.147], [0.000, 0.000, 0.853], [0.333, 0.667, 0.338], [0.333, 0.667, 0.662], [0.000, 0.000, 0.500], [0.333, 0.667, 0.000], [0.667, 0.333, 0.243], [0.667, 0.333, 0.757]],
  "total_energy_ev_per_atom": -6.264,
  "m_tot_mub_per_cell": 0.01
}